# 1
# Zr6Al16Co7

A relaxed Zr6Al16Co7 crystal (PBE, OQMD).

Cell and atoms, written as extended XYZ:
```
29
Lattice="-6.024 6.024 0.000 6.024 0.000 -6.024 -6.024 -6.024 0.000" Properties=species:S:1:pos:R:3 pbc="T T T"
Co 3.012 0.000 -3.012
Al 1.987 1.987 -4.036
Zr -6.024 -2.341 0.000
Al 1.987 -1.987 -4.036
Al -4.595 -4.595 -1.429
Al -1.429 -4.595 -4.595
Zr -6.024 2.341 0.000
Co 0.000 0.000 0.000
Zr -3.683 0.000 0.000
Co 0.000 3.012 -3.012
Al -8.011 -1.987 -1.987
Al -1.987 -1.987 -4.036
Co -3.012 -3.012 0.000
Co 0.000 -3.012 -3.012
Al -4.036 -1.987 -1.987
Al -4.595 4.595 -1.429
Zr -6.024 0.000 -2.341
Zr -8.364 0.000 0.000
Al -4.595 1.429 -4.595
Al -1.429 -1.429 -1.429
Al -1.429 1.429 -1.429
Al -1.429 4.595 -4.595
Zr 0.000 0.000 -3.683
Al -4.036 1.987 -1.987
Al -4.595 -1.429 -4.595
Al -8.011 1.987 -1.987
Co -3.012 0.000 -3.012
Co -3.012 3.012 0.000
Al -1.987 1.987 -4.036
```

## Properties
The size of the total moment is 3.0 μB per cell. The space group is Fm-3m. The final energy comes out at -177.68 eV/f.u.

***

# 2
# Gd3MgAl2Cd2Pd

A relaxed Gd3MgAl2Cd2Pd crystal (PBE, OQMD).

Cell and atoms, written as extended XYZ:
```
9
Lattice="4.437 0.000 0.000 0.000 6.400 3.665 0.000 -6.400 3.665" Properties=species:S:1:pos:R:3 pbc="T T T"
Gd 2.218 -3.772 5.163
Al 0.000 2.108 3.661
Al 0.000 -2.108 3.661
Gd 2.218 3.772 5.163
Gd 2.218 0.000 4.365
Pd 2.218 0.000 0.064
Mg 0.000 0.000 1.693
Cd 0.000 4.812 2.775
Cd 0.000 -4.812 2.775
```

## Properties
The size of the total moment is 0.0 μB per cell. The space group is Amm2. The final energy comes out at -34.27 eV/f.u.

***

# 3
# Hf4Nb2Sb3N3

A relaxed Hf4Nb2Sb3N3 crystal (PBE, OQMD).

Cell and atoms, written as extended XYZ:
```
24
Lattice="5.138 -2.957 0.000 5.138 2.957 0.000 -3.409 0.000 13.092" Properties=species:S:1:pos:R:3 pbc="T T T"
N 0.865 1.478 6.546
Sb 2.581 2.416 9.819
N 6.061 -1.576 0.002
Hf -0.851 0.550 7.671
N 4.357 1.576 6.548
N 2.510 -1.576 6.543
Hf 6.014 0.550 11.967
Nb 4.218 -0.463 5.496
Hf 5.963 0.461 7.674
Nb 4.354 -0.463 1.050
N 2.569 -1.478 0.000
Nb 2.514 0.463 12.041
Hf 7.718 -0.550 5.421
Nb 2.649 0.463 7.596
Sb 4.242 -0.455 9.835
Sb 5.946 0.455 3.289
Hf 7.668 -0.461 1.128
Sb 2.625 0.455 3.257
Sb 0.921 -0.455 9.803
Hf 0.904 -0.461 5.417
N 0.806 1.576 13.089
Hf 0.853 -0.550 1.125
Sb 4.286 -2.416 3.273
Hf -0.801 0.461 11.963
```

## Properties
The size of the total moment is 0.0 μB per cell. The space group is C2/c. The final energy comes out at -107.76 eV/f.u.

***

# 4
# LiGaW

A relaxed LiGaW crystal (PBE, OQMD).

Cell and atoms, written as extended XYZ:
```
3
Lattice="4.090 -0.665 0.300 2.305 2.343 2.542 1.588 -1.643 3.470" Properties=species:S:1:pos:R:3 pbc="T T T"
Li 1.996 0.008 1.578
W 5.987 0.025 4.735
Ga 0.000 0.000 0.000
```

## Properties
The size of the total moment is 0.1 μB per cell. The space group is F-43m. The calculation puts the energy above the most stable polymorph in this dataset at 0 meV per atom. The final energy comes out at -15.34 eV/f.u.

***

# 5
# LiLaCdS3

A relaxed LiLaCdS3 crystal (PBE, OQMD).

Cell and atoms, written as extended XYZ:
```
12
Lattice="6.199 -2.052 0.000 6.199 2.052 0.000 0.000 0.000 11.340" Properties=species:S:1:pos:R:3 pbc="T T T"
Cd 6.516 0.000 8.505
S 8.001 0.000 10.489
S 1.234 0.000 2.835
La 0.000 0.000 5.670
S 11.164 0.000 8.505
Li 9.331 0.000 2.835
S 4.397 0.000 4.819
La 0.000 0.000 0.000
S 4.397 0.000 0.851
S 8.001 0.000 6.521
Cd 5.883 0.000 2.835
Li 3.067 0.000 8.505
```

## Properties
The size of the total moment is 0.0 μB per cell. The space group is Cmcm. The final energy comes out at -27.76 eV/f.u.

***

# 6
# ZnBi2

A relaxed ZnBi2 crystal (PBE, OQMD).

Cell and atoms, written as extended XYZ:
```
6
Lattice="-3.033 -7.845 1.375 4.848 -5.818 3.909 -1.902 -2.506 7.921" Properties=species:S:1:pos:R:3 pbc="T T T"
Bi 2.392 -8.973 6.907
Zn -0.022 -4.042 3.301
Zn -0.043 -8.085 6.603
Bi -0.984 -7.316 8.912
Bi -0.033 -6.064 4.952
Bi -1.549 -9.986 5.640
```

## Properties
The space group is Fd-3m. The final energy comes out at -6.38 eV/f.u.

***

# 7
# Os2O

A relaxed Os2O crystal (PBE, OQMD).

Cell and atoms, written as extended XYZ:
```
6
Lattice="3.000 -2.529 3.177 -0.168 0.980 4.950 -1.975 -3.389 3.179" Properties=species:S:1:pos:R:3 pbc="T T T"
Os 1.523 -1.392 5.476
Os -0.964 -1.822 5.477
O 0.214 -1.234 2.826
Os 0.620 -3.576 4.591
Os 0.536 -3.086 7.066
O 0.000 0.000 0.000
```

## Properties
The size of the total moment is 0.0 μB per cell. The space group is Fd-3m. The calculation puts the energy above the most stable polymorph in this dataset at 0 meV per atom. The final energy comes out at -21.53 eV/f.u.

***

# 8
# ZrBeNiB

A relaxed ZrBeNiB crystal (PBE, OQMD).

Cell and atoms, written as extended XYZ:
```
4
Lattice="-1.621 -3.654 -0.796 -4.012 -0.357 -0.627 -1.414 -0.834 -3.731" Properties=species:S:1:pos:R:3 pbc="T T T"
Be -1.762 -1.211 -1.288
Zr -5.285 -3.633 -3.865
Ni -3.523 -2.422 -2.577
B 0.000 0.000 0.000
```

## Properties
The size of the total moment is 0.0 μB per cell. The space group is F-43m. The calculation puts the energy above the most stable polymorph in this dataset at 0 meV per atom. The final energy comes out at -24.55 eV/f.u.

***

# 9
# PmB4As

A relaxed PmB4As crystal (PBE, OQMD).

Cell and atoms, written as extended XYZ:
```
6
Lattice="-2.262 -2.290 4.253 -1.689 3.622 3.533 -0.551 -1.851 -4.972" Properties=species:S:1:pos:R:3 pbc="T T T"
As 0.000 0.000 0.000
Pm -1.975 0.666 3.893
B -1.812 -1.001 1.588
B -1.658 2.000 1.489
B -2.843 -2.520 1.325
B -2.689 0.481 1.226
```

## Properties
The size of the total moment is 0.0 μB per cell. The space group is Immm. The calculation puts the energy above the most stable polymorph in this dataset at 0 meV per atom. The final energy comes out at -36.05 eV/f.u.

***

# 10
# PrSnAsIr2

A relaxed PrSnAsIr2 crystal (PBE, OQMD).

Cell and atoms, written as extended XYZ:
```
10
Lattice="-1.755 -1.473 -3.845 3.847 -2.077 -0.960 -3.374 -8.459 4.780" Properties=species:S:1:pos:R:3 pbc="T T T"
Ir -1.228 -1.615 -1.426
Sn -2.094 -3.786 -0.199
Pr -3.463 -7.219 1.740
Pr 1.135 -3.014 0.636
As 0.000 0.000 0.000
Ir -0.641 -6.004 -0.013
Sn -0.234 -6.447 2.576
As 1.046 -1.775 -2.403
Ir -1.100 -8.618 3.803
Ir -1.687 -4.229 2.390
```

## Properties
The size of the total moment is 0.0 μB per cell. The space group is P4/nmm. The final energy comes out at -34.49 eV/f.u.

***

# 11
# BiB4Au

A relaxed BiB4Au crystal (PBE, OQMD).

Cell and atoms, written as extended XYZ:
```
6
Lattice="-4.992 0.060 2.288 -2.875 4.457 -1.422 2.435 -4.629 -1.671" Properties=species:S:1:pos:R:3 pbc="T T T"
B -1.762 1.841 -1.435
B -3.669 -1.952 0.630
Au 0.000 0.000 0.000
B -2.643 0.265 -1.222
Bi -3.933 2.259 0.433
B -2.788 -0.377 0.417
```

## Properties
The space group is Immm. The calculation puts the energy above the most stable polymorph in this dataset at 0 meV per atom. The final energy comes out at -29.94 eV/f.u.

***

# 12
# HfAgHg

A relaxed HfAgHg crystal (PBE, OQMD).

Cell and atoms, written as extended XYZ:
```
3
Lattice="-1.405 -3.998 3.619 -3.782 0.254 4.085 0.870 1.078 -5.398" Properties=species:S:1:pos:R:3 pbc="T T T"
Hf -0.003 -0.002 0.004
Hg -1.713 -1.236 2.544
Ag -3.471 -2.505 5.156
```

## Properties
The size of the total moment is 0.0 μB per cell. As for the formation energy: 0.083 eV/atom. The space group is I4mm. The calculation puts the energy above the most stable polymorph in this dataset at 5 meV per atom. The final energy comes out at -12.83 eV/f.u.

***

- What is the formula in the eighth record?
  ZrBeNiB